Record 1
VASP calculation (PBE-GGA) on a relaxed structure of MnPRu.

a b c (Å): 3.603 3.603 5.649
angles (deg): 90.00 90.00 90.00
Element x y z (fractional)
Mn: 0.250 0.750 0.000
Mn: 0.750 0.250 0.000
P: 0.250 0.250 0.243
P: 0.750 0.750 0.757
Ru: 0.250 0.250 0.647
Ru: 0.750 0.750 0.353

Calculated values
Uncorrected energy ... -25.2 eV per formula unit
E_form ... -0.448 eV/atom

Record 2
VASP calculation (PBE-GGA) on a relaxed structure of Re3AgF.

a b c (Å): 5.123 5.123 5.123
angles (deg): 90.00 90.00 90.00
Element x y z (fractional)
Re: 0.000 0.000 0.500
Re: 0.000 0.500 0.000
Re: 0.500 0.000 0.000
Ag: 0.000 0.000 0.000
F: 0.500 0.500 0.500

Calculated values
Uncorrected energy ... -26.2 eV per formula unit
Relative energy among the computed polymorphs ... 1663 meV per atom
E_form (uncorrected) ... 3181 meV/atom

Record 3
VASP calculation (PBE-GGA) on a relaxed structure of CaB3Br.

a b c (Å): 4.323 4.323 4.323
angles (deg): 90.00 90.00 90.00
Element x y z (fractional)
Ca: 0.000 0.000 0.000
B: 0.000 0.500 0.500
B: 0.500 0.000 0.500
B: 0.500 0.500 0.000
Br: 0.500 0.500 0.500

Calculated values
Uncorrected energy ... -13.7 eV per formula unit
Relative energy among the computed polymorphs ... 0 meV per atom
E_form (uncorrected) ... 1995 meV/atom